# 1
## KBe2TcF (PBE)

Data for crystalline KBe2TcF at its relaxed geometry.

Lattice parameters (Å, degrees): 4.370 4.501 4.370 90.00 90.00 90.00
Last column: magnetic moment on the atom in μB.
Positions (direct):
1 F 0.000 0.000 0.000  -0.01
2 Be 0.000 0.000 0.500  -0.07
3 Be 0.500 0.000 0.000  -0.08
4 K 0.500 0.500 0.500  0.00
5 Tc 0.000 0.500 0.000  2.26

Results
For the total energy, the calculation gives -3.1742 eV/atom. Its formation energy from raw total energies is 0.983 eV/atom. As for the space group: No. 123. The calculation puts the total magnetization at 0.42 μB per atom. The density of states at the Fermi level comes out at 3.4 states/eV/cell.

# 2
## LiPrGdEr (PBE)

Data for crystalline LiPrGdEr at its relaxed geometry.

Lattice parameters (Å, degrees): 5.548 5.548 5.548 60.00 60.00 60.00
Last column: magnetic moment on the atom in μB.
Positions (direct):
1 Li 0.750 0.750 0.750  0.00
2 Gd 0.000 0.000 0.000  7.12
3 Pr 0.500 0.500 0.500  0.00
4 Er 0.250 0.250 0.250  0.01

Results
For the total energy, the calculation gives -6.1796 eV/atom. For the energy of formation, the calculation gives 0.15 eV/atom. As for the space group: No. 216. The calculation puts the total magnetization at 1.84 μB per atom. The density of states at the Fermi level comes out at 4.4 states/eV/cell.

# 3
## BaLa (PBE)

Data for crystalline BaLa at its relaxed geometry.

Lattice parameters (Å, degrees): 4.098 4.942 9.525 90.00 90.00 90.00
Positions (direct):
1 La 0.750 0.250 0.924
2 La 0.250 0.750 0.076
3 Ba 0.750 0.250 0.340
4 Ba 0.250 0.750 0.660

Results
For the total energy, the calculation gives -3.2965 eV/atom. For the energy of formation, the calculation gives 0.13 eV/atom. As for the space group: No. 59. The calculation puts the total magnetization at 0.00 μB per atom. The density of states at the Fermi level comes out at 5.3 states/eV/cell.

# 4
## Y2Mg3N4 (PBE)

Data for crystalline Y2Mg3N4 at its relaxed geometry.

Lattice parameters (Å, degrees): 6.760 6.760 6.067 88.24 88.24 64.86
Positions (direct):
1 Y 0.627 0.862 0.281
2 Y 0.862 0.627 0.781
3 Y 0.138 0.373 0.219
4 Y 0.373 0.138 0.719
5 N 0.736 0.521 0.466
6 N 0.228 0.027 0.394
7 N 0.772 0.973 0.606
8 N 0.027 0.228 0.894
9 N 0.264 0.479 0.534
10 N 0.521 0.736 0.966
11 N 0.479 0.264 0.034
12 N 0.973 0.772 0.106
13 Mg 0.462 0.538 0.750
14 Mg 0.916 0.202 0.562
15 Mg 0.202 0.916 0.062
16 Mg 0.538 0.462 0.250
17 Mg 0.798 0.084 0.938
18 Mg 0.084 0.798 0.438

Results
For the total energy, the calculation gives -6.6963 eV/atom. Its formation energy from raw total energies is -1.028 eV/atom. As for the space group: No. 15. The calculation puts the total magnetization at 0.00 μB per atom. The density of states at the Fermi level comes out at 0.0 states/eV/cell.

# 5
## Sr3ZrTl (PBE)

Data for crystalline Sr3ZrTl at its relaxed geometry.

Lattice parameters (Å, degrees): 6.242 6.242 6.242 90.00 90.00 90.00
Last column: magnetic moment on the atom in μB.
Positions (direct):
1 Sr 0.500 0.000 0.000  0.01
2 Sr 0.000 0.000 0.500  0.01
3 Sr 0.000 0.500 0.000  0.00
4 Tl 0.000 0.000 0.000  -0.14
5 Zr 0.500 0.500 0.500  1.56

Results
For the total energy, the calculation gives -2.5649 eV/atom. For the energy of formation, the calculation gives 0.63 eV/atom. As for the space group: No. 221. The calculation puts the total magnetization at 0.59 μB per atom. The density of states at the Fermi level comes out at 3.7 states/eV/cell.

# 6
## CoRe2Cl (PBE)

Data for crystalline CoRe2Cl at its relaxed geometry.

Lattice parameters (Å, degrees): 2.773 2.773 8.819 90.00 90.00 120.04
Last column: magnetic moment on the atom in μB.
Positions (direct):
1 Cl 0.500 0.500 0.250  -0.01
2 Co 0.500 0.500 0.750  1.37
3 Re 0.000 0.000 0.990  0.12
4 Re 0.000 0.000 0.510  0.12

Results
For the total energy, the calculation gives -7.6440 eV/atom. Its formation energy from raw total energies is 0.818 eV/atom. As for the space group: No. 65. The calculation puts the total magnetization at 0.40 μB per atom. The density of states at the Fermi level comes out at 5.6 states/eV/cell.